# BaTlRu PBE relaxed
# polymorph energy (0 for the lowest one) = 52 meV per atom
# space group = I4mm, No. 107
# DOS at the Fermi energy = 2.69 states/eV/cell
# energy relative to the elements = 0.35 eV per atom
data_BaTlRu
_cell_length_a 6.449
_cell_length_b 6.449
_cell_length_c 3.732
_cell_angle_alpha 73.18
_cell_angle_beta 73.18
_cell_angle_gamma 33.64
_symmetry_space_group_name_H-M 'P 1'
_symmetry_Int_Tables_number 1
loop_
_symmetry_equiv_pos_as_xyz
'x,y,z'
loop_
_atom_site_label
_atom_site_fract_x
_atom_site_fract_y
_atom_site_fract_z
Ba1 0.996 0.996 0.004
Ru1 0.292 0.292 0.708
Tl1 0.712 0.712 0.288

=====

# AlSn2Sb2 PBE relaxed
# polymorph energy (0 for the lowest one) = 45 meV per atom
# formation energy from raw total energies = 0.257 eV per atom
# space group = P4/mbm, No. 127
# DOS at the Fermi energy = 6.54 states/eV/cell
data_AlSn2Sb2
_cell_length_a 8.248
_cell_length_b 8.248
_cell_length_c 4.055
_cell_angle_alpha 90.00
_cell_angle_beta 90.00
_cell_angle_gamma 90.00
_symmetry_space_group_name_H-M 'P 1'
_symmetry_Int_Tables_number 1
loop_
_symmetry_equiv_pos_as_xyz
'x,y,z'
loop_
_atom_site_label
_atom_site_fract_x
_atom_site_fract_y
_atom_site_fract_z
Sb1 0.153 0.653 0.500
Sb2 0.653 0.847 0.500
Sb3 0.847 0.347 0.500
Sb4 0.347 0.153 0.500
Sn1 0.350 0.850 0.000
Sn2 0.850 0.650 0.000
Sn3 0.650 0.150 0.000
Sn4 0.150 0.350 0.000
Al1 0.000 0.000 0.000
Al2 0.500 0.500 0.000

=====

# MgCrW2 PBE relaxed
# polymorph energy (0 for the lowest one) = 119 meV per atom
# space group = P4mm, No. 99
# DOS at the Fermi energy = 3.31 states/eV/cell
# energy relative to the elements = 0.42 eV per atom
data_MgCrW2
_cell_length_a 3.167
_cell_length_b 3.167
_cell_length_c 6.460
_cell_angle_alpha 90.00
_cell_angle_beta 90.00
_cell_angle_gamma 90.00
_symmetry_space_group_name_H-M 'P 1'
_symmetry_Int_Tables_number 1
loop_
_symmetry_equiv_pos_as_xyz
'x,y,z'
loop_
_atom_site_label
_atom_site_fract_x
_atom_site_fract_y
_atom_site_fract_z
Cr1 0.000 0.000 0.470
Mg1 0.500 0.500 0.742
W1 0.000 0.000 0.028
W2 0.500 0.500 0.260

=====

# Ac2Ge2BIr2 PBE relaxed
# space group = C2/m, No. 12
# DOS at the Fermi energy = 3.37 states/eV/cell
# energy relative to the elements = -0.75 eV per atom
data_Ac2Ge2BIr2
_cell_length_a 4.351
_cell_length_b 6.276
_cell_length_c 6.465
_cell_angle_alpha 72.54
_cell_angle_beta 70.33
_cell_angle_gamma 69.72
_symmetry_space_group_name_H-M 'P 1'
_symmetry_Int_Tables_number 1
loop_
_symmetry_equiv_pos_as_xyz
'x,y,z'
loop_
_atom_site_label
_atom_site_fract_x
_atom_site_fract_y
_atom_site_fract_z
Ac1 0.561 0.187 0.691
Ac2 0.439 0.813 0.309
Ge1 0.180 0.370 0.270
Ge2 0.820 0.630 0.730
B1 0.000 0.000 0.000
Ir1 0.192 0.691 0.925
Ir2 0.808 0.309 0.075

=====

# YMo4Ru PBE relaxed
# space group = F-43m, No. 216
# DOS at the Fermi energy = 8.10 states/eV/cell
# energy relative to the elements = 0.29 eV per atom
data_YMo4Ru
_cell_length_a 5.327
_cell_length_b 5.327
_cell_length_c 5.327
_cell_angle_alpha 60.00
_cell_angle_beta 60.00
_cell_angle_gamma 60.00
_symmetry_space_group_name_H-M 'P 1'
_symmetry_Int_Tables_number 1
loop_
_symmetry_equiv_pos_as_xyz
'x,y,z'
loop_
_atom_site_label
_atom_site_fract_x
_atom_site_fract_y
_atom_site_fract_z
Y1 0.000 0.000 0.000
Mo1 0.877 0.374 0.374
Mo2 0.374 0.374 0.877
Mo3 0.374 0.877 0.374
Mo4 0.374 0.374 0.374
Ru1 0.750 0.750 0.750

=====

# NiAgCl2 PBE relaxed
# polymorph energy (0 for the lowest one) = 0 meV per atom
# formation energy from raw total energies = -0.289 eV per atom
# space group = Immm, No. 71
data_NiAgCl2
_cell_length_a 6.695
_cell_length_b 6.695
_cell_length_c 6.695
_cell_angle_alpha 150.98
_cell_angle_beta 140.07
_cell_angle_gamma 50.11
_symmetry_space_group_name_H-M 'P 1'
_symmetry_Int_Tables_number 1
loop_
_symmetry_equiv_pos_as_xyz
'x,y,z'
loop_
_atom_site_label
_atom_site_fract_x
_atom_site_fract_y
_atom_site_fract_z
Ni1 0.250 0.750 0.500
Ag1 0.750 0.250 0.500
Cl1 0.118 0.118 0.000
Cl2 0.382 0.382 0.000

=====

# ScSi2Tc PBE relaxed
# polymorph energy (0 for the lowest one) = 290 meV per atom
# formation energy from raw total energies = -0.417 eV per atom
# space group = Fm-3m, No. 225
# DOS at the Fermi energy = 1.34 states/eV/cell
data_ScSi2Tc
_cell_length_a 4.390
_cell_length_b 4.390
_cell_length_c 4.390
_cell_angle_alpha 60.00
_cell_angle_beta 60.00
_cell_angle_gamma 60.00
_symmetry_space_group_name_H-M 'P 1'
_symmetry_Int_Tables_number 1
loop_
_symmetry_equiv_pos_as_xyz
'x,y,z'
loop_
_atom_site_label
_atom_site_fract_x
_atom_site_fract_y
_atom_site_fract_z
Sc1 0.000 0.000 0.000
Si1 0.250 0.250 0.250
Si2 0.750 0.750 0.750
Tc1 0.500 0.500 0.500

=====

# Zn2Fe5Pd12 PBE relaxed
# space group = C2/m, No. 12
# DOS at the Fermi energy = 15.25 states/eV/cell
# energy relative to the elements = -0.07 eV per atom
data_Zn2Fe5Pd12
_cell_length_a 7.857
_cell_length_b 7.214
_cell_length_c 6.030
_cell_angle_alpha 91.12
_cell_angle_beta 90.00
_cell_angle_gamma 122.99
_symmetry_space_group_name_H-M 'P 1'
_symmetry_Int_Tables_number 1
loop_
_symmetry_equiv_pos_as_xyz
'x,y,z'
loop_
_atom_site_label
_atom_site_fract_x
_atom_site_fract_y
_atom_site_fract_z
Zn1 0.763 0.000 0.000
Zn2 0.237 0.000 0.000
Fe1 0.238 0.477 0.515
Fe2 0.337 0.674 0.093
Fe3 0.000 0.000 0.500
Fe4 0.663 0.326 0.907
Fe5 0.762 0.523 0.485
Pd1 0.865 0.730 0.117
Pd2 0.041 0.608 0.801
Pd3 0.567 0.608 0.801
Pd4 0.172 0.794 0.399
Pd5 0.622 0.794 0.399
Pd6 0.449 0.899 0.740
Pd7 0.551 0.101 0.260
Pd8 0.828 0.206 0.601
Pd9 0.378 0.206 0.601
Pd10 0.959 0.392 0.199
Pd11 0.433 0.392 0.199
Pd12 0.135 0.270 0.883

=====

# KDyAgTe2 PBE relaxed
# formation energy from raw total energies = -0.809 eV per atom
# space group = P2/c, No. 13
# DOS at the Fermi energy = 3.77 states/eV/cell
data_KDyAgTe2
_cell_length_a 4.856
_cell_length_b 8.270
_cell_length_c 8.638
_cell_angle_alpha 94.94
_cell_angle_beta 90.00
_cell_angle_gamma 90.00
_symmetry_space_group_name_H-M 'P 1'
_symmetry_Int_Tables_number 1
loop_
_symmetry_equiv_pos_as_xyz
'x,y,z'
loop_
_atom_site_label
_atom_site_fract_x
_atom_site_fract_y
_atom_site_fract_z
K1 0.080 0.500 0.750
K2 0.920 0.500 0.250
Dy1 0.497 0.000 0.250
Dy2 0.503 0.000 0.750
Ag1 0.000 0.000 0.000
Ag2 0.000 0.000 0.500
Te1 0.603 0.747 0.980
Te2 0.603 0.253 0.520
Te3 0.397 0.747 0.480
Te4 0.397 0.253 0.020

=====

# B2Sb2Ir PBE relaxed
# polymorph energy (0 for the lowest one) = 0 meV per atom
# formation energy from raw total energies = 0.919 eV per atom
# space group = I4/mmm, No. 139
# DOS at the Fermi energy = 3.17 states/eV/cell
data_B2Sb2Ir
_cell_length_a 3.098
_cell_length_b 3.098
_cell_length_c 8.226
_cell_angle_alpha 79.14
_cell_angle_beta 79.14
_cell_angle_gamma 90.00
_symmetry_space_group_name_H-M 'P 1'
_symmetry_Int_Tables_number 1
loop_
_symmetry_equiv_pos_as_xyz
'x,y,z'
loop_
_atom_site_label
_atom_site_fract_x
_atom_site_fract_y
_atom_site_fract_z
Sb1 0.384 0.384 0.233
Sb2 0.616 0.616 0.767
B1 0.750 0.250 0.500
B2 0.250 0.750 0.500
Ir1 0.000 0.000 0.000

=====

# La3Tb4Er2 PBE relaxed
# polymorph energy (0 for the lowest one) = 68 meV per atom
# space group = C2/c, No. 15
# DOS at the Fermi energy = 27.97 states/eV/cell
# energy relative to the elements = 0.10 eV per atom
data_La3Tb4Er2
_cell_length_a 6.177
_cell_length_b 11.293
_cell_length_c 11.293
_cell_angle_alpha 63.31
_cell_angle_beta 63.25
_cell_angle_gamma 63.25
_symmetry_space_group_name_H-M 'P 1'
_symmetry_Int_Tables_number 1
loop_
_symmetry_equiv_pos_as_xyz
'x,y,z'
loop_
_atom_site_label
_atom_site_fract_x
_atom_site_fract_y
_atom_site_fract_z
La1 0.745 0.038 0.298
La2 0.755 0.702 0.962
La3 0.255 0.962 0.702
La4 0.245 0.298 0.038
La5 0.250 0.636 0.364
La6 0.750 0.364 0.636
Tb1 0.421 0.932 0.181
Tb2 0.079 0.819 0.068
Tb3 0.579 0.068 0.819
Tb4 0.921 0.181 0.932
Tb5 0.072 0.154 0.404
Tb6 0.428 0.596 0.846
Tb7 0.928 0.846 0.596
Tb8 0.572 0.404 0.154
Er1 0.418 0.271 0.511
Er2 0.082 0.489 0.729
Er3 0.582 0.729 0.489
Er4 0.918 0.511 0.271

=====

# Ho2ErSc6 PBE relaxed
# polymorph energy (0 for the lowest one) = 43 meV per atom
# space group = Immm, No. 71
# DOS at the Fermi energy = 18.50 states/eV/cell
# energy relative to the elements = 0.12 eV per atom
data_Ho2ErSc6
_cell_length_a 3.284
_cell_length_b 9.465
_cell_length_c 9.465
_cell_angle_alpha 57.23
_cell_angle_beta 80.02
_cell_angle_gamma 80.02
_symmetry_space_group_name_H-M 'P 1'
_symmetry_Int_Tables_number 1
loop_
_symmetry_equiv_pos_as_xyz
'x,y,z'
loop_
_atom_site_label
_atom_site_fract_x
_atom_site_fract_y
_atom_site_fract_z
Ho1 0.150 0.350 0.350
Ho2 0.850 0.650 0.650
Er1 0.000 0.000 0.000
Sc1 0.332 0.994 0.342
Sc2 0.668 0.006 0.658
Sc3 0.668 0.658 0.006
Sc4 0.500 0.329 0.670
Sc5 0.500 0.670 0.329
Sc6 0.332 0.342 0.994